CrWBr2: relaxed, GGA-PBEsol.

## Properties
The value obtained for the magnetic moment is 2.76 μB/cell. The value obtained for the uncorrected formation energy is 4.3 eV per formula unit. The space group is P4/mmm (123).

```
4
Lattice="4.548 0.000 0.000 0.000 4.548 0.000 0.000 0.000 3.230" Properties=species:S:1:pos:R:3 pbc="T T T"
Cr 0.000 0.000 0.000
W 2.274 2.274 0.000
Br 0.000 2.274 1.615
Br 2.274 0.000 1.615
```

=====

TcNi2: relaxed, GGA-PBEsol.

## Properties
The value obtained for the magnetic moment is 0.00 μB/cell. The calculated formation energy is 0.03 eV per atom. The space group is C2/m (12).

```
12
Lattice="9.289 0.000 0.000 0.000 2.577 0.000 -1.578 0.000 5.801" Properties=species:S:1:pos:R:3 pbc="T T T"
Tc 1.539 0.000 0.819
Tc 1.527 1.288 4.983
Tc 6.184 1.288 0.819
Tc 6.172 0.000 4.983
Ni -0.993 1.288 4.626
Ni 0.466 0.000 3.077
Ni 2.601 1.288 2.725
Ni 4.059 0.000 1.175
Ni 3.652 0.000 4.626
Ni 5.110 1.288 3.077
Ni 7.246 0.000 2.725
Ni 8.704 1.288 1.175
```